LaTl2BiH | PBE-GGA | relaxed Values from VASP.

Values from the calculation:
Energy, eV/atom: -3.66
Total magnetic moment, μB per atom: 0.000

```
&SYSTEM
  ibrav = 0, nat = 5, ntyp = 4
/
ATOMIC_SPECIES
H 1.01 H.upf
Tl 204.38 Tl.upf
Bi 208.98 Bi.upf
La 138.91 La.upf
ATOMIC_POSITIONS angstrom
H 0.000 0.000 0.000
Tl 0.000 2.548 0.000
Tl 2.548 0.000 0.000
Bi 2.548 2.548 2.420
La 0.000 0.000 2.420
CELL_PARAMETERS angstrom
5.097 0.000 0.000
0.000 5.097 0.000
0.000 0.000 4.840
```



La4TlBiH | PBE-GGA | relaxed Values from VASP.

Values from the calculation:
Energy, eV/atom: -4.76
Total magnetic moment, μB per atom: 0.135

```
&SYSTEM
  ibrav = 0, nat = 14, ntyp = 4
/
ATOMIC_SPECIES
La 138.91 La.upf
Tl 204.38 Tl.upf
Bi 208.98 Bi.upf
H 1.01 H.upf
ATOMIC_POSITIONS angstrom
La -4.785 6.270 3.753
La -0.623 7.146 5.931
La 1.303 0.952 4.971
La -2.859 0.076 2.793
La -1.741 3.611 4.362
La 0.174 4.857 0.166
La -2.853 3.760 1.169
La 1.286 4.708 3.359
Tl -0.048 1.868 1.897
Tl -3.434 5.354 6.827
Bi -1.965 0.628 6.095
Bi -1.517 6.594 2.630
H 0.100 4.822 5.571
H -3.582 2.401 3.153
CELL_PARAMETERS angstrom
-6.055 -2.194 2.007
2.224 -0.298 6.386
0.349 9.714 0.332
```



La2YBiH | PBE-GGA | relaxed Values from VASP.

Values from the calculation:
Energy, eV/atom: -5.23
Total magnetic moment, μB per atom: 0.000

```
&SYSTEM
  ibrav = 0, nat = 5, ntyp = 4
/
ATOMIC_SPECIES
Y 88.91 Y.upf
H 1.01 H.upf
Bi 208.98 Bi.upf
La 138.91 La.upf
ATOMIC_POSITIONS angstrom
Y -0.230 2.155 1.319
H 0.000 0.000 0.000
Bi -3.181 2.933 -0.465
La -2.436 -0.459 0.327
La -0.516 1.237 -2.110
CELL_PARAMETERS angstrom
-1.032 2.473 -4.221
-4.871 -0.919 0.653
-0.459 4.310 2.638
```



La2ZnBiH | PBE-GGA | relaxed Values from VASP.

Values from the calculation:
Energy, eV/atom: -4.18
Total magnetic moment, μB per atom: 0.000

```
&SYSTEM
  ibrav = 0, nat = 5, ntyp = 4
/
ATOMIC_SPECIES
H 1.01 H.upf
Zn 65.41 Zn.upf
Bi 208.98 Bi.upf
La 138.91 La.upf
ATOMIC_POSITIONS angstrom
H 0.000 0.000 0.000
Zn 0.837 1.753 1.138
Bi -1.955 3.779 0.070
La -2.324 0.506 0.929
La -0.468 1.520 -1.997
CELL_PARAMETERS angstrom
-0.936 3.040 -3.995
-4.647 1.011 1.859
1.673 3.506 2.276
```